DFT (PBE-GGA) results for K2Al2In after structural relaxation.

abc: 7.2468 7.2468 5.9695
angles: 90.00 90.00 90.00
Fractional positions:
1 K 0.1824 0.3176 0.0000
2 K 0.3176 0.8176 0.0000
3 K 0.6824 0.1824 0.0000
4 K 0.8176 0.6824 0.0000
5 Al 0.1270 0.6270 0.5000
6 Al 0.3730 0.1270 0.5000
7 Al 0.6270 0.8730 0.5000
8 Al 0.8730 0.3730 0.5000
9 In 0.0000 0.0000 0.5000
10 In 0.5000 0.5000 0.5000

Summary:
Energy of formation from the pure elements in eV per atom: 0.1512
Symmetry: No. 127
DFT total energy in eV/atom: -2.332
Calculated density in Mg/m³: 2.616



DFT (PBE-GGA) results for RbPaHgO5 after structural relaxation.

abc: 6.4724 6.4724 8.2704
angles: 100.13 100.13 113.98
Fractional positions:
1 Rb 0.1757 0.8243 0.7500
2 Rb 0.8243 0.1757 0.2500
3 Pa 0.5000 0.5000 0.0000
4 Pa 0.5000 0.5000 0.5000
5 Hg 0.1762 0.8238 0.2500
6 Hg 0.8238 0.1762 0.7500
7 O 0.1507 0.2356 0.9249
8 O 0.2356 0.1507 0.4249
9 O 0.2597 0.6317 0.4219
10 O 0.3683 0.7403 0.0781
11 O 0.4402 0.5598 0.7500
12 O 0.5598 0.4402 0.2500
13 O 0.6317 0.2597 0.9219
14 O 0.7403 0.3683 0.5781
15 O 0.7644 0.8493 0.5751
16 O 0.8493 0.7644 0.0751

Summary:
Formation energy (no corrections) in eV/atom: -1.74
Symmetry: No. 15
DFT total energy in eV/atom: -6.181
Calculated density in Mg/m³: 6.619



DFT (PBE-GGA) results for V2CoPd9 after structural relaxation.

abc: 3.8812 3.8812 11.7270
angles: 90.00 90.00 90.00
Fractional positions:
1 V 0.0000 0.0000 0.1719
2 V 0.0000 0.0000 0.8281
3 Co 0.0000 0.0000 0.5000
4 Pd 0.0000 0.5000 0.0000
5 Pd 0.0000 0.5000 0.3312
6 Pd 0.0000 0.5000 0.6688
7 Pd 0.5000 0.0000 0.0000
8 Pd 0.5000 0.0000 0.3312
9 Pd 0.5000 0.0000 0.6688
10 Pd 0.5000 0.5000 0.1652
11 Pd 0.5000 0.5000 0.5000
12 Pd 0.5000 0.5000 0.8348

Summary:
Energy of formation from the pure elements in eV per atom: -0.1381
Symmetry: No. 123
DFT total energy in eV/atom: -6.145
Calculated density in Mg/m³: 10.515